Record 1
Material: Ca2SmHo
Method: DFT, PBE
State: optimized geometry

Results
- E: -3.15 eV/atom
- Total magnetic moment: 0.0 μB per formula unit
- Crystal system: tetragonal

Cell: 4.1430 4.1430 8.3378 Å, 90.00 90.00 90.00°
Last column: nearest neighbours and their distance in Å.
Space group P4/mmm (No. 123)
Symmetry-distinct sites (fractional):
Ca1 0.0000 0.0000 0.2457 [2 per cell]  4 Ho 3.57, 4 Sm 3.62
Sm1 0.5000 0.5000 0.5000 [1 per cell]  8 Ca 3.62
Ho1 0.5000 0.5000 0.0000 [1 per cell]  8 Ca 3.57

Record 2
Material: Ho3CoCu
Method: DFT, PBE
State: optimized geometry

Results
- E: -5.16 eV/atom
- Total magnetic moment: 0.0 μB per formula unit
- Crystal system: monoclinic

Cell: 10.0007 6.1602 8.0647 Å, 90.00 114.40 90.00°
Last column: nearest neighbours and their distance in Å.
Space group C2/m (No. 12)
Symmetry-distinct sites (fractional):
Ho1 0.0104 0.0000 0.2294 [4 per cell]  2 Co 2.65, 2 Cu 2.88
Ho2 0.1895 0.5000 0.8569 [4 per cell]  2 Co 2.84, 2 Cu 2.99
Ho3 0.1974 0.5000 0.3356 [4 per cell]  2 Co 2.85, 2 Cu 3.06
Co1 0.0000 0.3138 0.0000 [4 per cell]  1 Co 2.29
Cu1 0.0000 0.2967 0.5000 [4 per cell]  1 Cu 2.50

Record 3
Material: TlCo2Cl
Method: DFT, PBE
State: optimized geometry

Results
- Total magnetic moment: 3.0 μB per formula unit
- Crystal system: tetragonal
- Raw formation energy: 0.7373 eV per atom

Cell: 4.5653 4.5653 3.1516 Å, 90.00 90.00 90.00°
Last column: nearest neighbours and their distance in Å.
Space group P4/mmm (No. 123)
Symmetry-distinct sites (fractional):
Tl1 0.0000 0.0000 0.0000 [1 per cell]  8 Co 2.77
Co1 0.0000 0.5000 0.5000 [2 per cell]  4 Tl 2.77, 4 Cl 2.77
Cl1 0.5000 0.5000 0.0000 [1 per cell]  8 Co 2.77

Record 4
Material: LiAu2Se
Method: DFT, PBE
State: optimized geometry

Results
- Total magnetic moment: 0.0 μB per formula unit
- Crystal system: tetragonal
- Raw formation energy: -0.2844 eV per atom

Cell: 3.9603 3.9603 19.3108 Å, 90.00 90.00 90.00°
Last column: nearest neighbours and their distance in Å.
Space group I-42d (No. 122)
Symmetry-distinct sites (fractional):
Li1 0.0000 0.0000 0.0000 [4 per cell]  4 Au 2.79, 4 Se 2.80
Au1 0.2500 0.2500 0.1250 [8 per cell]  2 Se 2.79, 2 Li 2.79, 4 Au 2.80
Se1 0.0000 0.0000 0.5000 [4 per cell]  4 Au 2.79, 4 Li 2.80